1 | CeHoAu: relaxed, GGA-PBE.

a = 7.097 Å, b = 7.097 Å, c = 7.097 Å
α = 90.00°, β = 90.00°, γ = 90.00°
Space group F-43m (No. 216)
Inequivalent atoms, fractional coordinates:
Ce1 0.000 0.000 0.000 [4 per cell]
Ho1 0.000 0.000 0.500 [4 per cell]
Au1 0.250 0.250 0.250 [4 per cell]

Properties
* total magnetization: 0.4256 μB/atom
* volume: 89 Å³/f.u.
* Fermi-level density of states: 36.1 states/eV/cell
* mass density: 9.33 Mg/m³

2 | CeHoAu: relaxed, GGA-PBE.

a = 4.9392 Å, b = 4.9392 Å, c = 3.7753 Å
α = 90.00°, β = 90.00°, γ = 120.00°
Space group P3m1 (No. 156)
Inequivalent atoms, fractional coordinates:
Ce1 0.0000 0.0000 0.0000 [1 per cell]
Ho1 0.6667 0.3333 0.5523 [1 per cell]
Au1 0.3333 0.6667 0.3638 [1 per cell]

Properties
* total magnetization: 0.3210 μB/atom
* volume: 80 Å³/f.u.
* Fermi-level density of states: 7.0 states/eV/cell
* mass density: 10.45 Mg/m³

Which is the most stable structure? 2 is the most stable.

1 | Ce2HoAu: relaxed, GGA-PBE.

a = 4.196 Å, b = 4.196 Å, c = 5.617 Å
α = 90.00°, β = 90.00°, γ = 90.00°
Space group P4/mmm (No. 123)
Inequivalent atoms, fractional coordinates:
Ce1 0.000 0.500 0.000 [2 per cell]
Ho1 0.000 0.000 0.500 [1 per cell]
Au1 0.500 0.500 0.500 [1 per cell]

Properties
* total magnetization: 0.2168 μB/atom
* volume: 99 Å³/f.u.
* Fermi-level density of states: 9.2 states/eV/cell
* mass density: 10.78 Mg/m³

2 | Ce2HoAu: relaxed, GGA-PBE.

a = 7.517 Å, b = 7.517 Å, c = 7.517 Å
α = 90.00°, β = 90.00°, γ = 90.00°
Space group Fm-3m (No. 225)
Inequivalent atoms, fractional coordinates:
Ce1 0.250 0.250 0.250 [8 per cell]
Ho1 0.000 0.000 0.000 [4 per cell]
Au1 0.000 0.000 0.500 [4 per cell]

Properties
* total magnetization: 0.5263 μB/atom
* volume: 106 Å³/f.u.
* Fermi-level density of states: 49.4 states/eV/cell
* mass density: 10.04 Mg/m³

Which is the most stable structure? 1 is the most stable.

1 | Ce2InAu: relaxed, GGA-PBE.

a = 3.8459 Å, b = 3.8459 Å, c = 27.3656 Å
α = 90.00°, β = 90.00°, γ = 120.00°
Space group R-3m (No. 166, hexagonal axes)
Inequivalent atoms, fractional coordinates:
Ce1 0.0000 0.0000 0.2425 [6 per cell]
In1 0.0000 0.0000 0.0000 [3 per cell]
Au1 0.0000 0.0000 0.5000 [3 per cell]

Properties
* total magnetization: 0.5263 μB/atom
* volume: 117 Å³/f.u.
* Fermi-level density of states: 32.5 states/eV/cell
* mass density: 8.41 Mg/m³

2 | Ce2InAu: relaxed, GGA-PBE.

a = 3.368 Å, b = 3.368 Å, c = 9.016 Å
α = 90.00°, β = 90.00°, γ = 90.00°
Space group P4/mmm (No. 123)
Inequivalent atoms, fractional coordinates:
Ce1 0.000 0.000 0.232 [2 per cell]
In1 0.500 0.500 0.500 [1 per cell]
Au1 0.500 0.500 0.000 [1 per cell]

Properties
* total magnetization: 0.4495 μB/atom
* volume: 102 Å³/f.u.
* Fermi-level density of states: 10.8 states/eV/cell
* mass density: 9.61 Mg/m³

Which is the most stable structure? 2 is the most stable.

1 | Ce2InAu: relaxed, GGA-PBE.

a = 7.571 Å, b = 7.571 Å, c = 7.571 Å
α = 90.00°, β = 90.00°, γ = 90.00°
Space group Fm-3m (No. 225)
Inequivalent atoms, fractional coordinates:
Ce1 0.250 0.250 0.250 [8 per cell]
In1 0.000 0.000 0.000 [4 per cell]
Au1 0.000 0.000 0.500 [4 per cell]

Properties
* total magnetization: 0.5880 μB/atom
* volume: 108 Å³/f.u.
* Fermi-level density of states: 64.8 states/eV/cell
* mass density: 9.06 Mg/m³

2 | Ce2InAu: relaxed, GGA-PBE.

a = 4.541 Å, b = 4.541 Å, c = 4.728 Å
α = 90.00°, β = 90.00°, γ = 90.00°
Space group P4/mmm (No. 123)
Inequivalent atoms, fractional coordinates:
Ce1 0.000 0.500 0.000 [2 per cell]
In1 0.000 0.000 0.500 [1 per cell]
Au1 0.500 0.500 0.500 [1 per cell]

Properties
* total magnetization: 0.2477 μB/atom
* volume: 97 Å³/f.u.
* Fermi-level density of states: 9.4 states/eV/cell
* mass density: 10.09 Mg/m³

Which is the most stable structure? 2 is the most stable.

1 | Ce2In5Au3: relaxed, GGA-PBE.

a = 11.939 Å, b = 12.805 Å, c = 6.509 Å
α = 90.00°, β = 90.00°, γ = 90.00°
Space group Ibam (No. 72)
Inequivalent atoms, fractional coordinates:
Ce1 0.241 0.132 0.000 [8 per cell]
In1 0.000 0.000 0.250 [4 per cell]
In2 0.000 0.258 0.250 [8 per cell]
In3 0.147 0.392 0.000 [8 per cell]
Au1 0.000 0.500 0.250 [4 per cell]
Au2 0.133 0.131 0.500 [8 per cell]

Properties
* total magnetization: 0.2040 μB/atom
* volume: 249 Å³/f.u.
* Fermi-level density of states: 67.3 states/eV/cell
* mass density: 9.65 Mg/m³

2 | Ce2In5Au3: relaxed, GGA-PBE.

a = 4.709 Å, b = 27.126 Å, c = 7.507 Å
α = 90.00°, β = 90.00°, γ = 90.00°
Space group Cmc2_1 (No. 36)
Inequivalent atoms, fractional coordinates:
Ce1 0.000 0.018 0.000 [4 per cell]
Ce2 0.000 0.328 0.963 [4 per cell]
In1 0.000 0.101 0.649 [4 per cell]
In2 0.000 0.207 0.168 [4 per cell]
In3 0.000 0.208 0.753 [4 per cell]
In4 0.000 0.379 0.492 [4 per cell]
In5 0.000 0.448 0.826 [4 per cell]
Au1 0.000 0.107 0.259 [4 per cell]
Au2 0.000 0.275 0.460 [4 per cell]
Au3 0.000 0.453 0.214 [4 per cell]

Properties
* total magnetization: 0.1780 μB/atom
* volume: 240 Å³/f.u.
* Fermi-level density of states: 58.0 states/eV/cell
* mass density: 10.01 Mg/m³

Which is the most stable structure? 2 is the most stable.

1 | CeInAu5: relaxed, GGA-PBE.

a = 4.488 Å, b = 4.488 Å, c = 7.847 Å
α = 90.00°, β = 90.00°, γ = 90.00°
Space group P4/mmm (No. 123)
Inequivalent atoms, fractional coordinates:
Ce1 0.000 0.000 0.000 [1 per cell]
In1 0.000 0.000 0.500 [1 per cell]
Au1 0.000 0.500 0.273 [4 per cell]
Au2 0.500 0.500 0.000 [1 per cell]

Properties
* total magnetization: 0.1272 μB/atom
* volume: 158 Å³/f.u.
* Fermi-level density of states: 8.1 states/eV/cell
* mass density: 13.02 Mg/m³

2 | CeInAu5: relaxed, GGA-PBE.

a = 9.078 Å, b = 5.760 Å, c = 11.363 Å
α = 90.00°, β = 90.00°, γ = 90.00°
Space group Pnma (No. 62)
Inequivalent atoms, fractional coordinates:
Ce1 0.246 0.250 0.054 [4 per cell]
In1 0.151 0.750 0.848 [4 per cell]
Au1 0.064 0.010 0.302 [8 per cell]
Au2 0.077 0.750 0.078 [4 per cell]
Au3 0.095 0.250 0.520 [4 per cell]
Au4 0.179 0.250 0.776 [4 per cell]

Properties
* total magnetization: 0.1382 μB/atom
* volume: 149 Å³/f.u.
* Fermi-level density of states: 36.1 states/eV/cell
* mass density: 13.86 Mg/m³

Which is the most stable structure? 2 is the most stable.

1 | Ce4InAu: relaxed, GGA-PBE.

a = 7.859 Å, b = 9.286 Å, c = 5.111 Å
α = 90.00°, β = 130.56°, γ = 90.00°
Space group C2/m (No. 12)
Inequivalent atoms, fractional coordinates:
Ce1 0.241 0.175 0.242 [8 per cell]
In1 0.000 0.500 0.000 [2 per cell]
Au1 0.000 0.000 0.500 [2 per cell]

Properties
* total magnetization: 0.2966 μB/atom
* volume: 142 Å³/f.u.
* Fermi-level density of states: 31.3 states/eV/cell
* mass density: 10.22 Mg/m³

2 | Ce4InAu: relaxed, GGA-PBE.

a = 16.528 Å, b = 5.576 Å, c = 7.568 Å
α = 90.00°, β = 104.19°, γ = 90.00°
Space group C2/c (No. 15)
Inequivalent atoms, fractional coordinates:
Ce1 0.070 0.096 0.468 [8 per cell]
Ce2 0.163 0.304 0.106 [8 per cell]
In1 0.000 0.414 0.750 [4 per cell]
Au1 0.250 0.250 0.500 [4 per cell]

Properties
* total magnetization: 0.4281 μB/atom
* volume: 169 Å³/f.u.
* Fermi-level density of states: 64.9 states/eV/cell
* mass density: 8.57 Mg/m³

Which is the most stable structure? 1 is the most stable.

1 | CePuInAu: relaxed, GGA-PBE.

a = 3.988 Å, b = 3.988 Å, c = 6.429 Å
α = 90.00°, β = 90.00°, γ = 90.00°
Space group P4mm (No. 99)
Inequivalent atoms, fractional coordinates:
Ce1 0.000 0.000 0.000 [1 per cell]
Pu1 0.000 0.000 0.539 [1 per cell]
In1 0.500 0.500 0.276 [1 per cell]
Au1 0.500 0.500 0.772 [1 per cell]

Properties
* total magnetization: 1.7314 μB/atom
* volume: 102 Å³/f.u.
* Fermi-level density of states: 12.1 states/eV/cell
* mass density: 11.30 Mg/m³

2 | CePuInAu: relaxed, GGA-PBE.

a = 7.512 Å, b = 7.512 Å, c = 7.512 Å
α = 90.00°, β = 90.00°, γ = 90.00°
Space group F-43m (No. 216)
Inequivalent atoms, fractional coordinates:
Ce1 0.000 0.000 0.000 [4 per cell]
Pu1 0.000 0.000 0.500 [4 per cell]
In1 0.250 0.250 0.250 [4 per cell]
Au1 0.250 0.250 0.750 [4 per cell]

Properties
* total magnetization: 1.6762 μB/atom
* volume: 106 Å³/f.u.
* Fermi-level density of states: 60.4 states/eV/cell
* mass density: 10.90 Mg/m³

Which is the most stable structure? 1 is the most stable.

1 | Ce3Ir2Au: relaxed, GGA-PBE.

a = 13.112 Å, b = 5.835 Å, c = 8.155 Å
α = 90.00°, β = 108.15°, γ = 90.00°
Space group C2/c (No. 15)
Inequivalent atoms, fractional coordinates:
Ce1 0.000 0.001 0.250 [4 per cell]
Ce2 0.184 0.500 0.092 [8 per cell]
Ir1 0.161 0.000 0.080 [8 per cell]
Au1 0.000 0.499 0.750 [4 per cell]

Properties
* total magnetization: 0.1332 μB/atom
* volume: 148 Å³/f.u.
* Fermi-level density of states: 42.1 states/eV/cell
* mass density: 11.22 Mg/m³

2 | Ce3Ir2Au: relaxed, GGA-PBE.

a = 15.018 Å, b = 6.751 Å, c = 4.983 Å
α = 90.00°, β = 90.00°, γ = 90.00°
Space group Cmcm (No. 63)
Inequivalent atoms, fractional coordinates:
Ce1 0.000 0.128 0.250 [4 per cell]
Ce2 0.174 0.350 0.250 [8 per cell]
Ir1 0.152 0.108 0.750 [8 per cell]
Au1 0.000 0.387 0.750 [4 per cell]

Properties
* total magnetization: 0.0006 μB/atom
* volume: 126 Å³/f.u.
* Fermi-level density of states: 30.5 states/eV/cell
* mass density: 13.17 Mg/m³

Which is the most stable structure? 1 is the most stable.

1 | Ce7Ir2Au2: relaxed, GGA-PBE.

a = 3.806 Å, b = 15.421 Å, c = 9.825 Å
α = 90.00°, β = 90.00°, γ = 90.00°
Space group Imm2 (No. 44)
Inequivalent atoms, fractional coordinates:
Ce1 0.000 0.000 0.000 [2 per cell]
Ce2 0.000 0.127 0.412 [4 per cell]
Ce3 0.000 0.316 0.628 [4 per cell]
Ce4 0.000 0.358 0.260 [4 per cell]
Ir1 0.000 0.231 0.931 [4 per cell]
Au1 0.000 0.000 0.661 [2 per cell]
Au2 0.000 0.500 0.758 [2 per cell]

Properties
* total magnetization: 0.2822 μB/atom
* volume: 288 Å³/f.u.
* Fermi-level density of states: 65.2 states/eV/cell
* mass density: 10.13 Mg/m³

2 | Ce7Ir2Au2: relaxed, GGA-PBE.

a = 8.141 Å, b = 10.898 Å, c = 6.689 Å
α = 90.00°, β = 90.00°, γ = 90.00°
Space group Cmmm (No. 65)
Inequivalent atoms, fractional coordinates:
Ce1 0.000 0.000 0.000 [2 per cell]
Ce2 0.000 0.500 0.280 [4 per cell]
Ce3 0.250 0.250 0.280 [8 per cell]
Ir1 0.000 0.289 0.000 [4 per cell]
Au1 0.168 0.000 0.500 [4 per cell]

Properties
* total magnetization: 0.3880 μB/atom
* volume: 297 Å³/f.u.
* Fermi-level density of states: 67.8 states/eV/cell
* mass density: 9.85 Mg/m³

Which is the most stable structure? 1 is the most stable.

1 | Ce8Ir3Au2: relaxed, GGA-PBE.

a = 10.315 Å, b = 14.304 Å, c = 4.741 Å
α = 90.00°, β = 90.00°, γ = 90.00°
Space group Cmmm (No. 65)
Inequivalent atoms, fractional coordinates:
Ce1 0.000 0.099 0.000 [4 per cell]
Ce2 0.000 0.378 0.000 [4 per cell]
Ce3 0.240 0.380 0.500 [8 per cell]
Ir1 0.000 0.500 0.500 [2 per cell]
Ir2 0.247 0.500 0.000 [4 per cell]
Au1 0.000 0.235 0.500 [4 per cell]

Properties
* total magnetization: 0.5697 μB/atom
* volume: 350 Å³/f.u.
* Fermi-level density of states: 81.2 states/eV/cell
* mass density: 9.93 Mg/m³

2 | Ce8Ir3Au2: relaxed, GGA-PBE.

a = 15.062 Å, b = 8.011 Å, c = 6.970 Å
α = 90.00°, β = 108.29°, γ = 90.00°
Space group C2/m (No. 12)
Inequivalent atoms, fractional coordinates:
Ce1 0.109 0.000 0.408 [4 per cell]
Ce2 0.112 0.246 0.907 [8 per cell]
Ce3 0.118 0.500 0.433 [4 per cell]
Ir1 0.000 0.000 0.000 [2 per cell]
Ir2 0.000 0.256 0.500 [4 per cell]
Au1 0.247 0.500 0.170 [4 per cell]

Properties
* total magnetization: 0.5747 μB/atom
* volume: 399 Å³/f.u.
* Fermi-level density of states: 97.3 states/eV/cell
* mass density: 8.70 Mg/m³

Which is the most stable structure? 1 is the most stable.

1 | CeNdIrAu: relaxed, GGA-PBE.

a = 7.222 Å, b = 7.222 Å, c = 7.222 Å
α = 90.00°, β = 90.00°, γ = 90.00°
Space group F-43m (No. 216)
Inequivalent atoms, fractional coordinates:
Ce1 0.000 0.000 0.000 [4 per cell]
Nd1 0.000 0.000 0.500 [4 per cell]
Ir1 0.250 0.250 0.250 [4 per cell]
Au1 0.250 0.250 0.750 [4 per cell]

Properties
* total magnetization: 0.2003 μB/atom
* volume: 94 Å³/f.u.
* Fermi-level density of states: 30.7 states/eV/cell
* mass density: 11.88 Mg/m³

2 | CeNdIrAu: relaxed, GGA-PBE.

a = 4.130 Å, b = 3.953 Å, c = 12.106 Å
α = 90.00°, β = 90.00°, γ = 90.00°
Space group Amm2 (No. 38)
Inequivalent atoms, fractional coordinates:
Ce1 0.000 0.000 0.000 [2 per cell]
Nd1 0.500 0.000 0.281 [2 per cell]
Ir1 0.500 0.000 0.525 [2 per cell]
Au1 0.000 0.000 0.703 [2 per cell]

Properties
* total magnetization: 0.0000 μB/atom
* volume: 99 Å³/f.u.
* Fermi-level density of states: 8.1 states/eV/cell
* mass density: 11.32 Mg/m³

Which is the most stable structure? 2 is the most stable.